[1]
VASP calculation (PBE-GGA) on an optimized crystal structure of Ag3ICl6.

abc: 7.252 9.038 9.038
angles: 107.45 90.00 90.00
Positions (direct):
Cl 0.168 0.381 0.292
Cl 0.231 0.138 0.522
Cl 0.258 0.779 0.221
Cl 0.668 0.619 0.708
Cl 0.668 0.292 0.381
Cl 0.870 0.927 0.073
Cl 0.370 0.073 0.927
Cl 0.758 0.221 0.779
Cl 0.168 0.708 0.619
Cl 0.231 0.478 0.862
Cl 0.731 0.522 0.138
Cl 0.731 0.862 0.478
Ag 0.393 0.887 0.557
Ag 0.893 0.557 0.887
Ag 0.893 0.113 0.443
Ag 0.236 0.429 0.571
Ag 0.736 0.571 0.429
Ag 0.393 0.443 0.113
I 0.538 0.878 0.122
I 0.038 0.122 0.878

Values from the calculation:
- Magnetization: 0.000 μB/f.u.
- ρ: 3.90 Mg/m³
- ΔE_f (raw): -0.254 eV/atom

***

[2]
VASP calculation (PBE-GGA) on an optimized crystal structure of Ag2ICl4.

abc: 3.902 11.754 10.747
angles: 69.05 79.54 80.45
Positions (direct):
I 0.160 0.862 0.818
I 0.840 0.138 0.182
Cl 0.068 0.092 0.773
Cl 0.578 0.632 0.211
Cl 0.749 0.370 0.132
Cl 0.422 0.368 0.789
Cl 0.114 0.312 0.461
Cl 0.886 0.688 0.539
Cl 0.932 0.908 0.227
Cl 0.251 0.630 0.868
Ag 0.429 0.762 0.380
Ag 0.571 0.238 0.620
Ag 0.853 0.509 0.785
Ag 0.147 0.491 0.215

Values from the calculation:
- Magnetization: 0.000 μB/f.u.
- ρ: 3.58 Mg/m³
- ΔE_f (raw): -0.307 eV/atom

***

[3]
VASP calculation (PBE-GGA) on an optimized crystal structure of Ag2I3Cl4.

abc: 9.230 8.725 8.725
angles: 92.91 79.13 79.13
Positions (direct):
I 0.250 0.502 0.498
I 0.514 0.206 0.924
I 0.486 0.794 0.076
I 0.986 0.076 0.794
I 0.750 0.498 0.502
I 0.014 0.924 0.206
Cl 0.413 0.682 0.836
Cl 0.558 0.918 0.322
Cl 0.913 0.836 0.682
Cl 0.087 0.164 0.318
Cl 0.058 0.322 0.918
Cl 0.942 0.678 0.082
Cl 0.587 0.318 0.164
Cl 0.442 0.082 0.678
Ag 0.055 0.587 0.783
Ag 0.945 0.413 0.217
Ag 0.445 0.217 0.413
Ag 0.555 0.783 0.587

Values from the calculation:
- Magnetization: 0.000 μB/f.u.
- ρ: 3.63 Mg/m³
- ΔE_f (raw): -0.201 eV/atom

***

[4]
VASP calculation (PBE-GGA) on an optimized crystal structure of Ag3ICl.

abc: 5.177 5.177 5.177
angles: 90.00 90.00 90.00
Positions (direct):
I 0.500 0.500 0.500
Ag 0.000 0.500 0.000
Ag 0.000 0.000 0.500
Ag 0.500 0.000 0.000
Cl 0.000 0.000 0.000

Values from the calculation:
- Magnetization: 0.000 μB/f.u.
- ρ: 5.82 Mg/m³
- ΔE_f (raw): 0.234 eV/atom

***

[5]
VASP calculation (PBE-GGA) on an optimized crystal structure of Ag6ICl5.

abc: 6.989 6.989 6.961
angles: 99.49 99.49 120.02
Positions (direct):
Cl 0.335 0.665 0.000
Cl 0.829 0.171 0.500
Cl 0.500 0.500 0.500
Cl 0.665 0.335 0.000
Cl 0.171 0.829 0.500
Ag 0.916 0.568 0.747
Ag 0.568 0.916 0.747
Ag 0.432 0.084 0.253
Ag 0.262 0.262 0.741
Ag 0.738 0.738 0.259
Ag 0.084 0.432 0.253
I 0.000 0.000 0.000

Values from the calculation:
- Magnetization: 0.000 μB/f.u.
- ρ: 5.68 Mg/m³
- ΔE_f (raw): -0.375 eV/atom

***

[6]
VASP calculation (PBE-GGA) on an optimized crystal structure of Ag2ICl2.

abc: 4.403 7.609 10.295
angles: 111.58 90.00 106.82
Positions (direct):
Ag 0.789 0.578 0.372
Ag 0.211 0.422 0.628
Ag 0.488 0.977 0.201
Ag 0.512 0.023 0.799
I 0.362 0.725 0.911
I 0.638 0.275 0.089
Cl 0.087 0.175 0.736
Cl 0.643 0.286 0.450
Cl 0.357 0.714 0.550
Cl 0.913 0.825 0.264

Values from the calculation:
- Magnetization: 0.000 μB/f.u.
- ρ: 4.51 Mg/m³
- ΔE_f (raw): -0.307 eV/atom

***

[7]
VASP calculation (PBE-GGA) on an optimized crystal structure of Ag2I2Cl7.

abc: 7.506 7.506 17.487
angles: 105.64 105.64 105.33
Positions (direct):
Cl 0.060 0.940 0.250
Cl 0.250 0.003 0.084
Cl 0.579 0.533 0.100
Cl 0.537 0.942 0.398
Cl 0.942 0.537 0.898
Cl 0.003 0.250 0.584
Cl 0.997 0.750 0.416
Cl 0.940 0.060 0.750
Cl 0.750 0.997 0.916
Cl 0.463 0.058 0.602
Cl 0.533 0.579 0.600
Cl 0.467 0.421 0.400
Cl 0.421 0.467 0.900
Cl 0.058 0.463 0.102
Ag 0.228 0.505 0.001
Ag 0.772 0.495 0.999
Ag 0.505 0.228 0.501
Ag 0.495 0.772 0.499
I 0.345 0.199 0.232
I 0.655 0.801 0.768
I 0.199 0.345 0.732
I 0.801 0.655 0.268

Values from the calculation:
- Magnetization: 0.696 μB/f.u.
- ρ: 2.80 Mg/m³
- ΔE_f (raw): -0.225 eV/atom

***

[8]
VASP calculation (PBE-GGA) on an optimized crystal structure of Ag2I2Cl.

abc: 4.525 10.846 7.389
angles: 94.32 72.40 77.89
Positions (direct):
Ag 0.839 0.330 0.498
Ag 0.161 0.670 0.502
Ag 0.663 0.170 0.003
Ag 0.337 0.830 0.997
I 0.526 0.587 0.729
I 0.474 0.413 0.271
I 0.161 0.086 0.231
I 0.839 0.914 0.769
Cl 0.048 0.250 0.752
Cl 0.952 0.750 0.248

Values from the calculation:
- Magnetization: 0.000 μB/f.u.
- ρ: 5.02 Mg/m³
- ΔE_f (raw): -0.234 eV/atom

***

[9]
VASP calculation (PBE-GGA) on an optimized crystal structure of AgI2Cl.

abc: 4.901 8.455 14.647
angles: 93.95 90.00 90.00
Positions (direct):
I 0.042 0.869 0.104
I 0.236 0.559 0.130
I 0.458 0.369 0.604
I 0.764 0.441 0.870
I 0.264 0.059 0.630
I 0.958 0.131 0.896
I 0.542 0.631 0.396
I 0.736 0.941 0.370
Cl 0.018 0.220 0.353
Cl 0.482 0.720 0.853
Cl 0.982 0.780 0.647
Cl 0.518 0.280 0.147
Ag 0.145 0.543 0.739
Ag 0.855 0.457 0.261
Ag 0.355 0.043 0.239
Ag 0.645 0.957 0.761

Values from the calculation:
- Magnetization: 0.000 μB/f.u.
- ρ: 4.36 Mg/m³
- ΔE_f (raw): -0.189 eV/atom

***

[10]
VASP calculation (PBE-GGA) on an optimized crystal structure of Ag4ICl5.

abc: 6.502 7.904 10.870
angles: 90.00 90.00 90.00
Positions (direct):
Cl 0.221 0.745 0.827
Cl 0.221 0.745 0.173
Cl 0.221 0.255 0.173
Cl 0.221 0.255 0.827
Cl 0.251 0.000 0.500
Cl 0.779 0.245 0.673
Cl 0.779 0.755 0.327
Cl 0.779 0.755 0.673
Cl 0.749 0.500 0.000
Cl 0.779 0.245 0.327
Ag 0.491 0.738 0.000
Ag 0.491 0.262 0.000
Ag 0.509 0.238 0.500
Ag 0.988 0.500 0.754
Ag 0.509 0.762 0.500
Ag 0.988 0.500 0.246
Ag 0.012 0.000 0.746
Ag 0.012 0.000 0.254
I 0.235 0.500 0.500
I 0.765 0.000 0.000

Values from the calculation:
- Magnetization: 0.000 μB/f.u.
- ρ: 4.37 Mg/m³
- ΔE_f (raw): -0.327 eV/atom